[1]
First-principles (PBE) data for a relaxed Nd2BeGeRh6 crystal, as listed in the Alexandria database.

Cell and atoms, written as POSCAR:
```
Nd2BeGeRh6
1.0
-3.144 3.150 4.449
3.144 -3.150 4.449
3.144 3.150 -4.449
Nd Be Ge Rh
2 1 1 6
direct
0.250 0.250 0.000 Nd
0.750 0.750 0.000 Nd
0.500 0.000 0.500 Be
0.000 0.500 0.500 Ge
0.263 0.237 0.500 Rh
0.263 0.763 0.025 Rh
0.263 0.763 0.500 Rh
0.737 0.237 0.500 Rh
0.737 0.237 0.975 Rh
0.737 0.763 0.500 Rh
```

energy of formation from the pure elements	-4.86	eV/f.u.
space-group type	No. 71

[2]
First-principles (PBE) data for a relaxed ZnSb2Pt crystal, as listed in the Alexandria database.

Cell and atoms, written as POSCAR:
```
ZnSb2Pt
1.0
2.377 -2.386 0.000
2.377 2.386 0.000
0.000 0.000 7.681
Zn Sb Pt
1 2 1
direct
0.000 0.000 0.000 Zn
0.000 0.000 0.624 Sb
0.500 0.500 0.229 Sb
0.500 0.500 0.831 Pt
```

E_form (uncorrected)	-0.112	eV per atom
space-group type	No. 35

[3]
First-principles (PBE) data for a relaxed LiPOsSe2 crystal, as listed in the Alexandria database.

Cell and atoms, written as POSCAR:
```
LiPOsSe2
1.0
4.485 0.000 0.000
0.000 4.485 0.000
0.000 0.000 4.115
Li P Os Se
1 1 1 2
direct
0.000 0.000 0.000 Li
0.000 0.000 0.500 P
0.500 0.500 0.500 Os
0.000 0.500 0.000 Se
0.500 0.000 0.000 Se
```

E_form (uncorrected)	1.142	eV per atom
space-group type	No. 123

[4]
First-principles (PBE) data for a relaxed NdZrSnHg crystal, as listed in the Alexandria database.

Cell and atoms, written as POSCAR:
```
NdZrSnHg
1.0
0.000 3.697 3.697
3.697 0.000 3.697
3.697 3.697 0.000
Nd Zr Sn Hg
1 1 1 1
direct
0.000 0.000 0.000 Nd
0.500 0.500 0.500 Zr
0.250 0.250 0.250 Sn
0.750 0.750 0.750 Hg
```

energy of formation from the pure elements	-1.36	eV/f.u.
space-group type	No. 216

[5]
First-principles (PBE) data for a relaxed RbErC2O6 crystal, as listed in the Alexandria database.

Cell and atoms, written as POSCAR:
```
RbErC2O6
1.0
4.377 -4.699 0.000
4.377 4.699 0.000
-2.584 0.000 6.702
Rb Er C O
2 2 4 12
direct
0.108 0.892 0.750 Rb
0.892 0.108 0.250 Rb
0.407 0.593 0.250 Er
0.593 0.407 0.750 Er
0.149 0.402 0.759 C
0.402 0.149 0.259 C
0.598 0.851 0.741 C
0.851 0.598 0.241 C
0.053 0.599 0.254 O
0.220 0.274 0.627 O
0.274 0.220 0.127 O
0.299 0.539 0.905 O
0.401 0.947 0.246 O
0.461 0.701 0.595 O
0.539 0.299 0.405 O
0.599 0.053 0.754 O
0.701 0.461 0.095 O
0.726 0.780 0.873 O
0.780 0.726 0.373 O
0.947 0.401 0.746 O
```

E_form (uncorrected)	-2.148	eV per atom
space-group type	No. 15

[6]
First-principles (PBE) data for a relaxed SrZrPt crystal, as listed in the Alexandria database.

Cell and atoms, written as POSCAR:
```
SrZrPt
1.0
4.474 0.000 0.000
-2.237 3.874 0.000
0.000 0.000 5.097
Sr Zr Pt
1 1 1
direct
0.000 0.000 0.000 Sr
0.333 0.667 0.506 Zr
0.667 0.333 0.434 Pt
```

energy of formation from the pure elements	-1.11	eV/f.u.
space-group type	No. 156
E above lowest polymorph	345.8	meV/atom

Number 1: DFT total energy -66.847 eV/cell. Number 2: DFT total energy -16.009 eV/cell. Number 3: DFT total energy -19.810 eV/cell. Number 4: DFT total energy -18.981 eV/cell. Number 5: DFT total energy -150.425 eV/cell. Number 6: DFT total energy -17.383 eV/cell.